(1)
SrCu4F12 | PBE-GGA | relaxed

Cell: 7.597 7.597 7.597 Å, 90.00 90.00 90.00°
Space group Im-3 (No. 204)
Unique sites:
Sr1 0.000 0.000 0.000
Cu1 0.250 0.250 0.250
F1 0.000 0.248 0.236

Output
calculated density	4.32	g cm⁻³
uncorrected energy	-141.190	eV for the cell shown



(2)
SrCuF4 | PBE-GGA | relaxed

Cell: 4.091 13.477 5.432 Å, 90.00 90.00 90.00°
Space group Cmc2_1 (No. 36)
Unique sites:
Sr1 0.000 0.145 0.000
Cu1 0.000 0.405 0.956
F1 0.000 0.081 0.451
F2 0.000 0.290 0.736
F3 0.000 0.328 0.258
F4 0.000 0.473 0.639

Output
calculated density	5.04	g cm⁻³
uncorrected energy	-115.094	eV for the cell shown